Below is a relaxed Tb3Pr2Y6In crystal, with properties calculated at the GGA-PBE level.

Summary:
Its formation energy is -59 meV/atom. Its symmetry is No. 12. Its density of states at the Fermi level is 1.3674 states/eV per atom.

The structure in POSCAR format:
```
Tb3Pr2Y6In
1.0
3.073 -5.324 0.000
3.073 5.324 0.000
-2.055 0.000 11.610
Tb Pr Y In
3 2 6 1
direct
0.000 0.000 0.000 Tb
0.334 0.666 0.000 Tb
0.666 0.334 0.000 Tb
0.166 0.834 0.500 Pr
0.834 0.166 0.500 Pr
0.091 0.418 0.251 Y
0.256 0.256 0.750 Y
0.418 0.091 0.251 Y
0.582 0.909 0.749 Y
0.744 0.744 0.250 Y
0.909 0.582 0.749 Y
0.500 0.500 0.500 In
```